Entry 1:
Computed, not measured: a relaxed structure of CuSn8Pt2 at the PBE level of DFT.

abc: 5.1941 7.3935 8.5931
angles: 113.23 92.81 94.25
Fractional positions:
Cu 0.0000 0.0000 0.0000
Sn 0.2487 0.5578 0.3949
Sn 0.2652 0.0873 0.3068
Sn 0.2888 0.1606 0.8151
Sn 0.3370 0.7311 0.8732
Sn 0.6630 0.2689 0.1268
Sn 0.7112 0.8394 0.1849
Sn 0.7348 0.9127 0.6932
Sn 0.7513 0.4422 0.6051
Pt 0.2394 0.3673 0.6232
Pt 0.7606 0.6327 0.3768

Results
Formation energy, eV/atom: -0.097
Space group: P-1

---

Entry 2:
Computed, not measured: a relaxed structure of MnZnHPt2 at the PBE level of DFT.

abc: 3.9944 3.9944 3.9052
angles: 90.00 90.00 90.00
Fractional positions:
Mn 0.0000 0.0000 0.0000
Zn 0.5000 0.5000 0.0000
H 0.0000 0.0000 0.5000
Pt 0.0000 0.5000 0.5000
Pt 0.5000 0.0000 0.5000

Results
Space group: P4/mmm

---

Entry 3:
Computed, not measured: a relaxed structure of ZrCoRh at the PBE level of DFT.

abc: 4.1877 4.1877 4.1877
angles: 60.00 60.00 60.00
Fractional positions:
Zr 0.0000 0.0000 0.0000
Co 0.2500 0.2500 0.2500
Rh 0.5000 0.5000 0.5000

Results
Formation energy, eV/atom: -0.084
Space group: F-43m

---

Entry 4:
Computed, not measured: a relaxed structure of Na3Pr2IrO6 at the PBE level of DFT.

abc: 5.8772 5.8772 6.0153
angles: 98.88 98.88 119.87
Fractional positions:
Na 0.0000 0.0000 0.0000
Na 0.3526 0.6474 0.0000
Na 0.6474 0.3526 0.0000
Pr 0.1688 0.8312 0.5000
Pr 0.8312 0.1688 0.5000
Ir 0.5000 0.5000 0.5000
O 0.1254 0.4262 0.2767
O 0.2631 0.2631 0.7156
O 0.4262 0.1254 0.2767
O 0.5738 0.8746 0.7233
O 0.7369 0.7369 0.2844
O 0.8746 0.5738 0.7233

Results
Raw formation energy, eV per atom: -1.966
Space group: C2/m

---

no.,calculated total energy (Ry per atom)
1,-0.3292
2,-0.3989
3,-0.5698
4,-0.4637